The following is a GGA-PBE calculation of an optimized crystal structure of RhAu2Cl, from Alexandria via LeMat-Bulk.

```
data_RhAu2Cl
_chemical_formula_sum 'Rh1 Au2 Cl1'
_space_group_name_H-M_alt 'P 1 2/m 1'
_space_group_IT_number 10
_space_group_name_Hall '-P 2y'
_cell_length_a 3.047
_cell_length_b 3.246
_cell_length_c 7.610
_cell_angle_alpha 90.00
_cell_angle_beta 90.09
_cell_angle_gamma 90.00
loop_
_atom_site_label
_atom_site_type_symbol
_atom_site_fract_x
_atom_site_fract_y
_atom_site_fract_z
Rh1 Rh 0.000 0.000 0.000
Au1 Au 0.499 0.500 0.780
Cl1 Cl 0.500 0.000 0.500
```

Output
Size of the total moment, μB/cell: 1.22
Relative energy among the computed polymorphs, meV/atom: 95
Formation energy without anion corrections, eV per atom: 0.252